No. 1
Density functional theory data (GGA-PBE) for crystalline VSnTe at its relaxed geometry.

Calculated values
As for the total magnetic moment: 1.1 μB per formula unit. As for the crystal system: hexagonal. Its final energy is -5.124 eV/atom. The symmetry is P-6m2.

The structure in extended XYZ format:
```
3
Lattice="4.644 0.000 0.000 -2.322 4.022 0.000 0.000 0.000 3.646" Properties=species:S:1:pos:R:3 pbc="T T T"
V 0.000 0.000 0.000
Sn 0.000 2.681 1.823
Te 2.322 1.341 0.000
```

No. 2
Density functional theory data (GGA-PBE) for crystalline V2Sn2Te at its relaxed geometry.

Calculated values
As for the total magnetic moment: 1.8 μB per formula unit. As for the crystal system: tetragonal. Its final energy is -5.687 eV/atom. The symmetry is P4/mbm.

The structure in extended XYZ format:
```
10
Lattice="7.328 0.000 0.000 0.000 7.328 0.000 0.000 0.000 3.774" Properties=species:S:1:pos:R:3 pbc="T T T"
V 1.131 2.533 0.000
V 2.533 6.197 0.000
V 4.794 1.131 0.000
V 6.197 4.794 0.000
Sn 1.054 4.718 1.887
Sn 2.610 1.054 1.887
Sn 4.718 6.274 1.887
Sn 6.274 2.610 1.887
Te 0.000 0.000 0.000
Te 3.664 3.664 0.000
```

No. 3
Density functional theory data (GGA-PBE) for crystalline VSnTe3 at its relaxed geometry.

Calculated values
As for the total magnetic moment: 2.7 μB per formula unit. As for the crystal system: cubic. Its final energy is -3.654 eV/atom. The symmetry is Pm-3m.

The structure in extended XYZ format:
```
5
Lattice="5.661 0.000 0.000 0.000 5.661 0.000 0.000 0.000 5.661" Properties=species:S:1:pos:R:3 pbc="T T T"
V 0.000 0.000 0.000
Sn 2.831 2.831 2.831
Te 0.000 2.831 2.831
Te 2.831 0.000 2.831
Te 2.831 2.831 0.000
```

No. 4
Density functional theory data (GGA-PBE) for crystalline V2SnTe at its relaxed geometry.

Calculated values
As for the total magnetic moment: 0.1 μB per formula unit. As for the crystal system: cubic. Its final energy is -6.076 eV/atom. The symmetry is Fm-3m.

The structure in extended XYZ format:
```
4
Lattice="0.000 3.300 3.300 3.300 0.000 3.300 3.300 3.300 0.000" Properties=species:S:1:pos:R:3 pbc="T T T"
V 1.650 1.650 1.650
V 4.950 4.950 4.950
Sn 0.000 0.000 0.000
Te 3.300 3.300 3.300
```

No. 5
Density functional theory data (GGA-PBE) for crystalline VSnTe3 at its relaxed geometry.

Calculated values
As for the total magnetic moment: 1.8 μB per formula unit. As for the crystal system: cubic. Its final energy is -4.365 eV/atom. The symmetry is Pm-3m.

The structure in extended XYZ format:
```
5
Lattice="5.299 0.000 0.000 0.000 5.299 0.000 0.000 0.000 5.299" Properties=species:S:1:pos:R:3 pbc="T T T"
V 0.000 0.000 0.000
Sn 2.650 2.650 2.650
Te 0.000 0.000 2.650
Te 0.000 2.650 0.000
Te 2.650 0.000 0.000
```

No. 6
Density functional theory data (GGA-PBE) for crystalline V2SnTe at its relaxed geometry.

Calculated values
As for the total magnetic moment: 5.0 μB per formula unit. As for the crystal system: tetragonal. Its final energy is -5.828 eV/atom. The symmetry is I-42d.

The structure in extended XYZ format:
```
8
Lattice="-3.718 3.718 3.250 3.718 -3.718 3.250 3.718 3.718 -3.250" Properties=species:S:1:pos:R:3 pbc="T T T"
V 5.577 1.730 -0.812
V 1.730 1.859 0.812
V -1.859 1.988 2.437
V 1.988 1.859 4.062
Sn 3.718 0.000 1.625
Sn 0.000 0.000 3.250
Te 0.000 0.000 0.000
Te 0.000 3.718 1.625
```